The following is a DFT calculation (PBE-GGA) of a relaxed structure of Dy2Tm5Pb5.

## Properties
E_form: -0.3293 eV per atom
VASP energy: -4.50 eV/atom

a = 4.9002 Å, b = 6.9643 Å, c = 11.8848 Å
α = 109.64°, β = 90.00°, γ = 110.60°
Closest atoms and distances in Å follow each position.
Fractional coordinates of all 12 atoms:
Dy 0.0782 0.1564 0.7603  4 Pb 3.14-3.35
Dy 0.9218 0.8436 0.2397  4 Pb 3.14-3.35
Tm 0.5000 0.0000 0.5000  4 Pb 3.10
Tm 0.6519 0.3038 0.0090  5 Pb 3.13-3.38, 1 Tm 3.47
Tm 0.6520 0.3039 0.3011  5 Pb 3.09-3.25
Tm 0.3480 0.6961 0.6989  5 Pb 3.09-3.25
Tm 0.3481 0.6962 0.9910  5 Pb 3.13-3.38, 1 Tm 3.47
Pb 0.1351 0.2702 0.4727  5 Tm 3.09-3.25, 1 Dy 3.14
Pb 0.7358 0.4716 0.7876  2 Dy 3.14, 5 Tm 3.19-3.38, 1 Pb 3.46
Pb 0.2642 0.5284 0.2124  2 Dy 3.14, 5 Tm 3.19-3.38, 1 Pb 3.46
Pb 0.8649 0.7298 0.5273  5 Tm 3.09-3.25, 1 Dy 3.14
Pb 0.0000 0.0000 0.0000  4 Tm 3.13, 2 Dy 3.35, 2 Pb 3.46


The following is a DFT calculation (PBE-GGA) of a relaxed structure of DyTm3Pb2.

## Properties
E_form: -0.3308 eV per atom
excess energy over the best structure of this formula in the dataset: 52.2 meV/atom
VASP energy: -4.57 eV/atom

a = 4.8744 Å, b = 8.7638 Å, c = 9.3593 Å
α = 117.92°, β = 105.09°, γ = 90.00°
Closest atoms and distances in Å follow each position.
Fractional coordinates of all 12 atoms:
Dy 0.0000 0.5000 0.0000  8 Tm 3.28-3.52, 4 Pb 3.42
Dy 0.0000 0.0000 0.0000  8 Tm 3.28-3.52, 4 Pb 3.42
Tm 0.5000 0.2500 0.0000  4 Pb 3.24, 4 Dy 3.28
Tm 0.5000 0.7500 0.0000  4 Pb 3.24, 4 Dy 3.28
Tm 0.8260 0.0760 0.6519  6 Pb 3.30-3.52, 4 Tm 3.42-3.68, 2 Dy 3.52
Tm 0.1740 0.4240 0.3481  6 Pb 3.30-3.52, 4 Tm 3.42-3.68, 2 Dy 3.52
Tm 0.1740 0.9240 0.3481  6 Pb 3.30-3.52, 4 Tm 3.42-3.68, 2 Dy 3.52
Tm 0.8260 0.5760 0.6519  6 Pb 3.30-3.52, 4 Tm 3.42-3.68, 2 Dy 3.52
Pb 0.3487 0.3486 0.6972  8 Tm 3.24-3.52, 2 Dy 3.42
Pb 0.6515 0.1514 0.3028  8 Tm 3.24-3.52, 2 Dy 3.42
Pb 0.3485 0.8486 0.6972  8 Tm 3.24-3.52, 2 Dy 3.42
Pb 0.6513 0.6514 0.3028  8 Tm 3.24-3.52, 2 Dy 3.42